The following is a DFT calculation (PBE) of an optimized crystal structure of Ba2TmPaSe6.

Unit cell a=7.4562 b=7.8340 c=13.0997 alpha=90.00 beta=124.51 gamma=90.00
Space group P2_1/c (No. 14)
Inequivalent atoms, fractional coordinates:
Ba 0.2276 0.0717 0.2489
Tm 0.0000 0.0000 0.5000
Pa 0.5000 0.0000 0.0000
Se 0.1547 0.1986 0.9552
Se 0.2593 0.7029 0.9545
Se 0.3381 0.0162 0.7515

Computed properties:
crystal system	monoclinic

The following is a DFT calculation (PBE) of an optimized crystal structure of NaZr3Sb.

Unit cell a=5.4028 b=5.4028 c=5.4028 alpha=90.00 beta=90.00 gamma=90.00
Space group Pm-3m (No. 221)
Inequivalent atoms, fractional coordinates:
Na 0.0000 0.0000 0.0000
Zr 0.0000 0.5000 0.5000
Sb 0.5000 0.5000 0.5000

Computed properties:
DOS(E_F)	5.56	states/eV per cell
crystal system	cubic

no.,DFT total energy (Ry/atom)
1,-0.418
2,-0.405